No. 1
A PBEsol-optimized structure of ScFe2Ir. Source: the Alexandria database, functional meta-GGA SCAN.

Cell: 3.700 3.700 4.079 Å, 90.00 90.00 90.00°
Space group P4/mmm (No. 123)
Symmetry-distinct sites (fractional):
Sc  0.000  0.000  0.000 x1
Fe  0.000  0.500  0.500 x2
Ir  0.500  0.500  0.000 x1

Results
- formation energy (eV/f.u.) = -1.41

---

No. 2
A PBEsol-optimized structure of KBeCu. Source: the Alexandria database, functional meta-GGA SCAN.

Cell: 2.868 3.416 11.584 Å, 90.00 90.00 90.00°
Space group Imm2 (No. 44)
Symmetry-distinct sites (fractional):
K  0.000  0.000  0.000 x2
Be  0.000  0.000  0.740 x2
Cu  0.000  0.000  0.265 x2

Results
- formation energy (eV/f.u.) = 1.20

---

No. 3
A PBEsol-optimized structure of SiMo2Au. Source: the Alexandria database, functional meta-GGA SCAN.

Cell: 2.708 2.708 8.335 Å, 90.00 90.00 90.00°
Space group P4mm (No. 99)
Symmetry-distinct sites (fractional):
Si  0.000  0.000  0.000 x1
Mo  0.000  0.000  0.518 x1
Mo  0.500  0.500  0.777 x1
Au  0.500  0.500  0.259 x1

Results
- uncorrected formation energy (eV per atom) = 0.29

---

No. 4
A PBEsol-optimized structure of PRhCl2. Source: the Alexandria database, functional meta-GGA SCAN.

Cell: 3.3565 3.3565 23.0478 Å, 90.00 90.00 120.00°
Space group R-3m (No. 166, hexagonal axes)
Symmetry-distinct sites (fractional):
P  0.0000  0.0000  0.0000 x3
Rh  0.0000  0.0000  0.5000 x3
Cl  0.0000  0.0000  0.1023 x6

Results
- ΔE to the lowest computed polymorph (meV per atom) = 1226
- uncorrected formation energy (eV per atom) = 0.31

---

No. 5
A PBEsol-optimized structure of Li3CuAg. Source: the Alexandria database, functional meta-GGA SCAN.

Cell: 4.506 4.506 4.506 Å, 90.00 90.00 90.00°
Space group Pm-3m (No. 221)
Symmetry-distinct sites (fractional):
Li  0.000  0.000  0.500 x3
Cu  0.000  0.000  0.000 x1
Ag  0.500  0.500  0.500 x1

Results
- formation energy (eV/f.u.) = 1.45

---

No. 6
A PBEsol-optimized structure of CoAgAs2. Source: the Alexandria database, functional meta-GGA SCAN.

Cell: 3.247 3.247 5.976 Å, 90.00 90.00 90.00°
Space group P4mm (No. 99)
Symmetry-distinct sites (fractional):
Co  0.000  0.000  0.000 x1
Ag  0.500  0.500  0.334 x1
As  0.000  0.000  0.591 x1
As  0.500  0.500  0.902 x1

Results
- ΔE to the lowest computed polymorph (meV per atom) = 176
- formation energy (eV/f.u.) = 1.17

---

No. 7
A PBEsol-optimized structure of CsCaPb2. Source: the Alexandria database, functional meta-GGA SCAN.

Cell: 8.266 8.266 8.266 Å, 90.00 90.00 90.00°
Space group Fm-3m (No. 225)
Symmetry-distinct sites (fractional):
Cs  0.000  0.000  0.000 x4
Ca  0.000  0.000  0.500 x4
Pb  0.250  0.250  0.250 x8

Results
- formation energy (eV/f.u.) = -0.86

---

No. 8
A PBEsol-optimized structure of NaDyS2. Source: the Alexandria database, functional meta-GGA SCAN.

Cell: 3.9302 3.9302 19.7717 Å, 90.00 90.00 120.00°
Space group R-3m (No. 166, hexagonal axes)
Symmetry-distinct sites (fractional):
Na  0.0000  0.0000  0.0000 x3
Dy  0.0000  0.0000  0.5000 x3
S  0.0000  0.0000  0.2425 x6

Results
- uncorrected formation energy (eV per atom) = -2.11

---

No. 9
A PBEsol-optimized structure of TlMo2Pb. Source: the Alexandria database, functional meta-GGA SCAN.

Cell: 3.341 5.006 9.177 Å, 90.00 90.00 90.00°
Space group Cmmm (No. 65)
Symmetry-distinct sites (fractional):
Tl  0.000  0.000  0.000 x2
Mo  0.000  0.500  0.251 x4
Pb  0.000  0.000  0.500 x2

Results
- ΔE to the lowest computed polymorph (meV per atom) = 56
- formation energy (eV/f.u.) = 3.78

---

No. 10
A PBEsol-optimized structure of Sr2AlSe. Source: the Alexandria database, functional meta-GGA SCAN.

Cell: 3.727 3.727 8.207 Å, 90.00 90.00 90.00°
Space group P4/mmm (No. 123)
Symmetry-distinct sites (fractional):
Sr  0.000  0.000  0.224 x2
Al  0.500  0.500  0.500 x1
Se  0.500  0.500  0.000 x1

Results
- uncorrected formation energy (eV per atom) = -0.97

---

No. 11
A PBEsol-optimized structure of Li2AsRu. Source: the Alexandria database, functional meta-GGA SCAN.

Cell: 3.544 3.544 18.485 Å, 90.00 90.00 90.00°
Space group I-42d (No. 122)
Symmetry-distinct sites (fractional):
Li  0.249  0.250  0.125 x8
As  0.000  0.000  0.000 x4
Ru  0.000  0.000  0.500 x4

Results
- formation energy (eV/f.u.) = -0.06

---

No. 12
A PBEsol-optimized structure of TlHSe2. Source: the Alexandria database, functional meta-GGA SCAN.

Cell: 5.539 5.539 10.953 Å, 90.00 90.00 90.00°
Space group I-42d (No. 122)
Symmetry-distinct sites (fractional):
Tl  0.000  0.000  0.000 x4
H  0.000  0.000  0.500 x4
Se  0.169  0.250  0.625 x8

Results
- total energy (Ha/atom) = -1.0574

---

Number 1: calculated density 10376 kg/m3. Number 2: calculated density 3268 kg/m3. Number 3: calculated density 11328 kg/m3. Number 4: calculated density 4537 kg/m3. Number 5: calculated density 3488 kg/m3. Number 6: calculated density 8347 kg/m3. Number 7: calculated density 6907 kg/m3. Number 8: calculated density 4702 kg/m3. Number 9: calculated density 13059 kg/m3. Number 10: calculated density 4095 kg/m3. Number 11: calculated density 5434 kg/m3. Number 12: calculated density 7180 kg/m3.